Entry 1:
Compound: Cu3P4S3I3
Source: OQMD via LeMat-Bulk
Functional: PBE
Structure: relaxed

Lattice parameters (Å, degrees): 19.401 10.116 7.100 90.00 90.00 90.00
Sites, in units of the cell vectors:
Cu1 0.318 0.518 0.041
Cu2 0.682 0.018 0.959
Cu3 0.818 0.982 0.459
Cu4 0.868 0.750 0.962
Cu5 0.632 0.250 0.462
Cu6 0.818 0.518 0.459
Cu7 0.182 0.018 0.541
Cu8 0.182 0.482 0.541
Cu9 0.682 0.482 0.959
Cu10 0.368 0.750 0.538
Cu11 0.132 0.250 0.038
Cu12 0.318 0.982 0.041
I1 0.859 0.750 0.330
I2 0.307 0.963 0.674
I3 0.193 0.463 0.174
I4 0.807 0.963 0.826
I5 0.641 0.250 0.830
I6 0.807 0.537 0.826
I7 0.307 0.537 0.674
I8 0.141 0.250 0.670
I9 0.193 0.037 0.174
I10 0.359 0.750 0.170
I11 0.693 0.037 0.326
I12 0.693 0.463 0.326
P1 0.977 0.750 0.875
P2 0.646 0.750 0.579
P3 0.387 0.363 0.162
P4 0.613 0.863 0.838
P5 0.613 0.637 0.838
P6 0.523 0.250 0.375
P7 0.387 0.137 0.162
P8 0.113 0.863 0.662
P9 0.887 0.137 0.338
P10 0.023 0.250 0.125
P11 0.854 0.250 0.079
P12 0.146 0.750 0.921
P13 0.477 0.750 0.625
P14 0.887 0.363 0.338
P15 0.113 0.637 0.662
P16 0.354 0.250 0.421
S1 0.055 0.750 0.084
S2 0.491 0.089 0.206
S3 0.491 0.411 0.206
S4 0.509 0.911 0.794
S5 0.445 0.250 0.584
S6 0.991 0.089 0.294
S7 0.509 0.589 0.794
S8 0.991 0.411 0.294
S9 0.009 0.589 0.706
S10 0.009 0.911 0.706
S11 0.555 0.750 0.416
S12 0.945 0.250 0.916

Summary:
The total energy comes out at -4.025 eV per atom.

***

Entry 2:
Compound: TaPbS2
Source: OQMD via LeMat-Bulk
Functional: PBE
Structure: relaxed

Lattice parameters (Å, degrees): 3.370 3.370 18.020 90.00 90.00 120.00
Sites, in units of the cell vectors:
S1 0.000 0.000 0.836
S2 0.000 0.000 0.336
S3 0.000 0.000 0.664
S4 0.000 0.000 0.164
Ta1 0.667 0.333 0.750
Ta2 0.333 0.667 0.250
Pb1 0.000 0.000 0.500
Pb2 0.000 0.000 0.000

Summary:
The total energy comes out at -6.827 eV per atom.

***

Entry 3:
Compound: SrPr2Al7Ag2
Source: OQMD via LeMat-Bulk
Functional: PBE
Structure: relaxed

Lattice parameters (Å, degrees): 9.554 9.554 9.554 34.83 34.83 34.83
Sites, in units of the cell vectors:
Al1 0.074 0.587 0.587
Al2 0.413 0.926 0.413
Al3 0.413 0.413 0.926
Al4 0.587 0.074 0.587
Al5 0.500 0.500 0.500
Al6 0.926 0.413 0.413
Al7 0.587 0.587 0.074
Ag1 0.336 0.336 0.336
Ag2 0.664 0.664 0.664
Pr1 0.858 0.858 0.858
Pr2 0.142 0.142 0.142
Sr1 0.000 0.000 0.000

Summary:
The total energy comes out at -4.005 eV per atom.

***

Entry 4:
Compound: KHoTh
Source: OQMD via LeMat-Bulk
Functional: PBE
Structure: relaxed

Lattice parameters (Å, degrees): 5.508 5.508 5.508 60.00 60.00 60.00
Sites, in units of the cell vectors:
K1 0.000 0.000 0.000
Th1 0.750 0.750 0.750
Ho1 0.250 0.250 0.250

Summary:
The total energy comes out at -2.839 eV per atom.

***

Entry 5:
Compound: GdDyHo2Ga2
Source: OQMD via LeMat-Bulk
Functional: PBE
Structure: relaxed

Lattice parameters (Å, degrees): 5.159 5.159 6.589 90.00 90.00 120.00
Sites, in units of the cell vectors:
Ho1 0.000 0.000 0.751
Ho2 0.000 0.000 0.249
Dy1 0.667 0.333 0.000
Gd1 0.333 0.667 0.500
Ga1 0.333 0.667 0.000
Ga2 0.667 0.333 0.500

Summary:
The total energy comes out at -4.472 eV per atom.

***

Entry 6:
Compound: ThFeRe
Source: OQMD via LeMat-Bulk
Functional: PBE
Structure: relaxed

Lattice parameters (Å, degrees): 4.435 4.435 4.435 60.00 60.00 60.00
Each line ends with the local moment (μB).
Sites, in units of the cell vectors:
Th1 0.250 0.250 0.250  0.09
Fe1 0.000 0.000 0.000  2.00
Re1 0.750 0.750 0.750  0.77

Summary:
As for the formation energy: 0.550 eV per atom. The total energy comes out at -8.832 eV per atom.

***

Entry 7:
Compound: Tm6TcPb2
Source: OQMD via LeMat-Bulk
Functional: PBE
Structure: relaxed

Lattice parameters (Å, degrees): 4.348 8.051 8.051 120.01 90.00 90.00
Sites, in units of the cell vectors:
Tm1 0.000 0.239 0.000
Tm2 0.000 0.000 0.239
Tm3 0.500 0.394 0.394
Tm4 0.500 0.000 0.606
Tm5 0.000 0.761 0.761
Tm6 0.500 0.606 0.000
Tc1 0.500 0.000 0.000
Pb1 0.000 0.333 0.667
Pb2 0.000 0.667 0.333

Summary:
The total energy comes out at -5.313 eV per atom.

***

Entry 8:
Compound: AcZr2O4
Source: OQMD via LeMat-Bulk
Functional: PBE
Structure: relaxed

Lattice parameters (Å, degrees): 6.774 6.774 6.774 119.99 90.02 119.99
Sites, in units of the cell vectors:
Zr1 0.375 0.250 0.625
Zr2 0.875 0.250 0.625
Zr3 0.375 0.750 0.625
Zr4 0.375 0.750 0.125
Ac1 0.750 0.500 0.250
Ac2 0.000 0.000 0.000
O1 0.571 0.714 0.857
O2 0.607 0.214 0.821
O3 0.143 0.714 0.857
O4 0.143 0.286 0.857
O5 0.607 0.214 0.393
O6 0.143 0.286 0.429
O7 0.179 0.786 0.393
O8 0.607 0.786 0.393

Summary:
The total energy comes out at -8.622 eV per atom.

***

Entry 9:
Compound: DyHoBr2O
Source: OQMD via LeMat-Bulk
Functional: PBE
Structure: relaxed

Lattice parameters (Å, degrees): 3.648 3.648 10.120 90.00 90.00 120.00
Sites, in units of the cell vectors:
O1 0.333 0.667 0.495
Dy1 0.000 0.000 0.622
Ho1 0.667 0.333 0.379
Br1 0.000 0.000 0.189
Br2 0.667 0.333 0.815

Summary:
The total energy comes out at -5.574 eV per atom.

***

Entry 10:
Compound: DyIn4Cu
Source: OQMD via LeMat-Bulk
Functional: PBE
Structure: relaxed

Lattice parameters (Å, degrees): 5.970 5.970 5.970 60.00 60.00 60.00
Sites, in units of the cell vectors:
In1 0.625 0.625 0.124
In2 0.124 0.625 0.625
In3 0.625 0.124 0.625
In4 0.625 0.625 0.625
Cu1 0.000 0.000 0.000
Dy1 0.250 0.250 0.250

Summary:
The total energy comes out at -3.064 eV per atom.

***

Entry 11:
Compound: ZrAlRe
Source: OQMD via LeMat-Bulk
Functional: PBE
Structure: relaxed

Lattice parameters (Å, degrees): 4.432 4.432 4.432 60.00 60.00 60.00
Sites, in units of the cell vectors:
Re1 0.000 0.000 0.000
Zr1 0.750 0.750 0.750
Al1 0.250 0.250 0.250

Summary:
The total energy comes out at -8.008 eV per atom.

***

Entry 12:
Compound: DyThIn
Source: OQMD via LeMat-Bulk
Functional: PBE
Structure: relaxed

Lattice parameters (Å, degrees): 5.224 5.224 5.224 60.00 60.00 60.00
Sites, in units of the cell vectors:
In1 0.000 0.000 0.000
Dy1 0.250 0.250 0.250
Th1 0.750 0.750 0.750

Summary:
The total energy comes out at -4.839 eV per atom.

***

Entry 13:
Compound: YCdCuAs
Source: OQMD via LeMat-Bulk
Functional: PBE
Structure: relaxed

Lattice parameters (Å, degrees): 4.883 4.883 4.883 60.00 60.00 60.00
Sites, in units of the cell vectors:
Cu1 0.750 0.750 0.750
Cd1 0.250 0.250 0.250
As1 0.000 0.000 0.000
Y1 0.500 0.500 0.500

Summary:
The total energy comes out at -4.021 eV per atom.

***

Entry 14:
Compound: Sm5Al2Si7
Source: OQMD via LeMat-Bulk
Functional: PBE
Structure: relaxed

Lattice parameters (Å, degrees): 6.006 6.006 17.109 97.96 97.96 99.93
Sites, in units of the cell vectors:
Sm1 0.404 0.404 0.640
Sm2 0.085 0.650 0.215
Sm3 0.596 0.596 0.360
Sm4 0.236 0.764 0.000
Sm5 0.764 0.236 0.000
Sm6 0.650 0.085 0.215
Sm7 0.350 0.915 0.785
Sm8 0.915 0.350 0.785
Sm9 0.203 0.797 0.500
Sm10 0.797 0.203 0.500
Si1 0.987 0.987 0.359
Si2 0.698 0.698 0.537
Si3 0.569 0.569 0.178
Si4 0.431 0.431 0.822
Si5 0.052 0.052 0.128
Si6 0.415 0.016 0.361
Si7 0.747 0.747 0.076
Si8 0.585 0.984 0.639
Si9 0.302 0.302 0.463
Si10 0.013 0.013 0.641
Si11 0.253 0.253 0.924
Si12 0.984 0.585 0.639
Si13 0.016 0.415 0.361
Si14 0.948 0.948 0.872
Al1 0.309 0.309 0.070
Al2 0.210 0.210 0.264
Al3 0.790 0.790 0.736
Al4 0.691 0.691 0.930

Summary:
The total energy comes out at -5.510 eV per atom.

***

Entry 15:
Compound: Hf4FeCoP2
Source: OQMD via LeMat-Bulk
Functional: PBE
Structure: relaxed

Lattice parameters (Å, degrees): 5.179 3.592 7.370 90.00 109.55 90.00
Each line ends with the local moment (μB).
Sites, in units of the cell vectors:
Hf1 0.297 0.000 0.583  0.00
Hf2 0.705 0.500 0.419  0.00
Hf3 0.228 0.500 0.935  0.00
Hf4 0.771 0.000 0.062  -0.01
P1 0.864 0.000 0.711  0.00
P2 0.138 0.500 0.288  0.00
Co1 0.360 0.000 0.215  0.00
Fe1 0.636 0.500 0.788  0.10

Summary:
The total energy comes out at -9.121 eV per atom.

***

Entry 16:
Compound: Ta2Si2O5
Source: OQMD via LeMat-Bulk
Functional: PBE
Structure: relaxed

Lattice parameters (Å, degrees): 5.658 3.908 3.908 90.00 90.00 90.00
Each line ends with the local moment (μB).
Sites, in units of the cell vectors:
Si1 0.797 0.500 0.500  0.01
Si2 0.203 0.500 0.500  0.01
Ta1 0.000 0.000 0.000  0.04
Ta2 0.500 0.000 0.000  0.94
O1 0.500 0.500 0.500  0.05
O2 0.758 0.000 0.500  0.00
O3 0.242 0.000 0.500  0.00
O4 0.242 0.500 0.000  0.00
O5 0.758 0.500 0.000  0.00

Summary:
The total energy comes out at -7.587 eV per atom.

***

Entry 17:
Compound: Pm2ZrN3
Source: OQMD via LeMat-Bulk
Functional: PBE
Structure: relaxed

Lattice parameters (Å, degrees): 3.445 3.445 8.603 90.00 90.00 120.00
Sites, in units of the cell vectors:
Pm1 0.333 0.667 0.829
Pm2 0.667 0.333 0.171
N1 0.000 0.000 0.000
N2 0.333 0.667 0.358
N3 0.667 0.333 0.642
Zr1 0.000 0.000 0.500

Summary:
The total energy comes out at -8.699 eV per atom.

***

Entry 18:
Compound: SmCuGeTe3
Source: OQMD via LeMat-Bulk
Functional: PBE
Structure: relaxed

Lattice parameters (Å, degrees): 7.424 7.424 11.313 90.00 90.00 32.58
Sites, in units of the cell vectors:
Te1 0.094 0.094 0.250
Te2 0.652 0.652 0.923
Te3 0.652 0.652 0.577
Te4 0.348 0.348 0.423
Te5 0.348 0.348 0.077
Te6 0.906 0.906 0.750
Sm1 0.000 0.000 0.000
Sm2 0.000 0.000 0.500
Cu1 0.525 0.525 0.750
Cu2 0.475 0.475 0.250
Ge1 0.224 0.224 0.750
Ge2 0.776 0.776 0.250

Summary:
The total energy comes out at -4.298 eV per atom.

***

Entry 19:
Compound: ReAuNO
Source: OQMD via LeMat-Bulk
Functional: PBE
Structure: relaxed

Lattice parameters (Å, degrees): 3.495 6.255 6.284 90.00 90.00 90.00
Sites, in units of the cell vectors:
Re1 0.500 0.158 0.545
Re2 0.500 0.842 0.045
Au1 0.000 0.510 0.341
Au2 0.000 0.490 0.841
N1 0.000 0.288 0.584
N2 0.000 0.712 0.084
O1 0.500 0.033 0.276
O2 0.500 0.967 0.776

Summary:
The total energy comes out at -7.210 eV per atom.

***

Entry 20:
Compound: PrLuZn2Sn2
Source: OQMD via LeMat-Bulk
Functional: PBE
Structure: relaxed

Lattice parameters (Å, degrees): 4.552 4.552 15.901 90.00 90.00 120.00
Sites, in units of the cell vectors:
Zn1 0.667 0.333 0.348
Zn2 0.667 0.333 0.152
Zn3 0.333 0.667 0.652
Zn4 0.333 0.667 0.848
Pr1 0.000 0.000 0.750
Pr2 0.000 0.000 0.250
Sn1 0.667 0.333 0.607
Sn2 0.667 0.333 0.893
Sn3 0.333 0.667 0.393
Sn4 0.333 0.667 0.107
Lu1 0.000 0.000 0.000
Lu2 0.000 0.000 0.500

Summary:
The total energy comes out at -3.858 eV per atom.

***

Entry 21:
Compound: Sc3Al3Cu2Ir
Source: OQMD via LeMat-Bulk
Functional: PBE
Structure: relaxed

Lattice parameters (Å, degrees): 6.871 6.871 3.779 90.00 90.00 120.00
Sites, in units of the cell vectors:
Sc1 0.409 0.000 0.000
Sc2 0.000 0.409 0.000
Sc3 0.591 0.591 0.000
Al1 0.000 0.747 0.500
Al2 0.253 0.253 0.500
Al3 0.747 0.000 0.500
Ir1 0.000 0.000 0.000
Cu1 0.667 0.333 0.500
Cu2 0.333 0.667 0.500

Summary:
The total energy comes out at -5.770 eV per atom.

***

Entry 22:
Compound: LaTaBeFe
Source: OQMD via LeMat-Bulk
Functional: PBE
Structure: relaxed

Lattice parameters (Å, degrees): 4.468 4.468 4.468 60.00 60.00 60.00
Sites, in units of the cell vectors:
Ta1 0.000 0.000 0.000
Be1 0.750 0.750 0.750
Fe1 0.500 0.500 0.500
La1 0.250 0.250 0.250

Summary:
The total energy comes out at -6.525 eV per atom.